The following is a DFT calculation (PBE-GGA) of a relaxed structure of BeTeIN2.

Values from the calculation:
Its crystal system is tetragonal. The excess energy over the best structure of this formula in the dataset comes out at 0.00 eV/f.u. The calculated total energy is -17.32 eV for the cell shown. Its uncorrected formation energy is 1551 meV/atom.

Cell and atoms, written as CIF:
```
data_BeTeIN2
_chemical_formula_sum 'Be1 Te1 I1 N2'
_cell_length_a 3.966
_cell_length_b 3.966
_cell_length_c 7.978
_cell_angle_alpha 90.00
_cell_angle_beta 90.00
_cell_angle_gamma 90.00
_space_group_name_H-M_alt 'P 1'
_space_group_IT_number 1
loop_
_space_group_symop_operation_xyz
'x,y,z'
loop_
_atom_site_label
_atom_site_fract_x
_atom_site_fract_y
_atom_site_fract_z
_atom_site_occupancy
Be1 0.000 0.000 0.000 1
Te1 0.500 0.500 0.500 1
I1 0.500 0.500 0.000 1
N1 0.000 0.500 0.500 1
N2 0.500 0.000 0.500 1
```

---

The following is a DFT calculation (PBE-GGA) of a relaxed structure of BaZrCd3.

Values from the calculation:
Its crystal system is cubic. The excess energy over the best structure of this formula in the dataset comes out at 0.00 eV/f.u. The formation energy from the elements is 1.3 eV/f.u. The calculated total energy is -11.94 eV for the cell shown.

Cell and atoms, written as CIF:
```
data_BaZrCd3
_chemical_formula_sum 'Ba1 Zr1 Cd3'
_cell_length_a 5.644
_cell_length_b 5.644
_cell_length_c 5.644
_cell_angle_alpha 90.00
_cell_angle_beta 90.00
_cell_angle_gamma 90.00
_space_group_name_H-M_alt 'P 1'
_space_group_IT_number 1
loop_
_space_group_symop_operation_xyz
'x,y,z'
loop_
_atom_site_label
_atom_site_fract_x
_atom_site_fract_y
_atom_site_fract_z
_atom_site_occupancy
Ba1 0.000 0.000 0.000 1
Zr1 0.500 0.500 0.500 1
Cd1 0.000 0.500 0.500 1
Cd2 0.500 0.000 0.500 1
Cd3 0.500 0.500 0.000 1
```

---

The following is a DFT calculation (PBE-GGA) of a relaxed structure of DyBi2.

Values from the calculation:
Its crystal system is trigonal. The formation energy from the elements is -0.7 eV/f.u. The calculated total energy is -26.19 eV for the cell shown.

Cell and atoms, written as CIF:
```
data_DyBi2
_chemical_formula_sum 'Dy2 Bi4'
_cell_length_a 9.081
_cell_length_b 9.081
_cell_length_c 9.081
_cell_angle_alpha 33.62
_cell_angle_beta 33.62
_cell_angle_gamma 33.62
_space_group_name_H-M_alt 'P 1'
_space_group_IT_number 1
loop_
_space_group_symop_operation_xyz
'x,y,z'
loop_
_atom_site_label
_atom_site_fract_x
_atom_site_fract_y
_atom_site_fract_z
_atom_site_occupancy
Dy1 0.072 0.072 0.072 1
Dy2 0.928 0.928 0.928 1
Bi1 0.197 0.197 0.197 1
Bi2 0.377 0.377 0.377 1
Bi3 0.623 0.623 0.623 1
Bi4 0.803 0.803 0.803 1
```